## 1
First-principles (PBEsol) data for crystalline CrPCl2 at its relaxed geometry, as listed in the Alexandria database.

a b c (Å): 2.856 2.856 9.002
angles (deg): 90.00 90.00 90.00
Space group P4/mmm (No. 123)
Asymmetric unit:
Cr 0.000 0.000 0.000 (multiplicity 1)
P 0.000 0.000 0.500 (multiplicity 1)
Cl 0.500 0.500 0.162 (multiplicity 2)



## 2
First-principles (PBEsol) data for crystalline CrPCl2 at its relaxed geometry, as listed in the Alexandria database.

a b c (Å): 5.828 6.212 4.015
angles (deg): 90.00 90.00 90.00
Space group Cmmm (No. 65)
Asymmetric unit:
Cr 0.000 0.000 0.000 (multiplicity 2)
P 0.000 0.500 0.000 (multiplicity 2)
Cl 0.000 0.237 0.500 (multiplicity 4)



Relative stability in kJ/mol of atoms, measured from the most stable structure: 1 6.4; 2 0.0